[1]
Entry from the Alexandria database: crystalline YSc2CdB at its relaxed geometry (PBE).

excess energy over the best structure of this formula in the dataset = 0.00 eV/f.u.
Fermi-level density of states = 7.17 states/eV/f.u.
energy = -27.7 eV/cell
total magnetization = 0.000 Bohr magnetons per cell
ΔH_f (0 K) = -0.1897 eV/atom

```
data_YSc2CdB
_space_group_name_H-M_alt 'P 4/m m m'
_space_group_IT_number 123
_space_group_name_Hall '-P 4 2'
_cell_length_a 4.697
_cell_length_b 4.697
_cell_length_c 5.121
_cell_angle_alpha 90.00
_cell_angle_beta 90.00
_cell_angle_gamma 90.00
loop_
_atom_site_label
_atom_site_fract_x
_atom_site_fract_y
_atom_site_fract_z
Y1 0.000 0.000 0.000
Sc1 0.000 0.500 0.500
Cd1 0.500 0.500 0.000
B1 0.000 0.000 0.500
```

---

[2]
Entry from the Alexandria database: crystalline CdBSe2 at its relaxed geometry (PBE).

excess energy over the best structure of this formula in the dataset = 0.00 eV/f.u.
Fermi-level density of states = 3.01 states/eV/f.u.
energy = -57.1 eV/cell
total magnetization = 0.000 Bohr magnetons per cell

```
data_CdBSe2
_space_group_name_H-M_alt 'I -4 2 d'
_space_group_IT_number 122
_space_group_name_Hall 'I -4 2bw'
_cell_length_a 6.387
_cell_length_b 6.387
_cell_length_c 8.096
_cell_angle_alpha 90.00
_cell_angle_beta 90.00
_cell_angle_gamma 90.00
loop_
_atom_site_label
_atom_site_fract_x
_atom_site_fract_y
_atom_site_fract_z
Cd1 0.000 0.000 0.000
B1 0.000 0.000 0.500
Se1 0.147 0.750 0.625
```